! LiCaNF2, optimized geometry, DFT GGA-PBE; values from VASP
! Energy relative to the elements, uncorrected in eV/atom: -1.67
! Energy above the lowest structure with this stoichiometry in kJ/mol of atoms: 0.0
! Symmetry: No. 123
&SYSTEM
  ibrav = 0, nat = 5, ntyp = 4
/
ATOMIC_SPECIES
Li 6.94 Li.upf
F 19.00 F.upf
N 14.01 N.upf
Ca 40.08 Ca.upf
CELL_PARAMETERS angstrom
-2.865 2.438 0.125
-1.954 -2.406 2.136
1.584 1.690 3.352
ATOMIC_POSITIONS crystal
Li 0.000 0.000 0.000
F 0.000 0.500 0.000
F 0.500 0.000 0.000
N 0.000 0.000 0.500
Ca 0.500 0.500 0.500

***

! ReAgPb, optimized geometry, DFT GGA-PBE; values from VASP
! Energy above the lowest structure with this stoichiometry in kJ/mol of atoms: 0.0
! Symmetry: No. 156
! Energy of formation from the pure elements in meV per atom: 919
&SYSTEM
  ibrav = 0, nat = 3, ntyp = 3
/
ATOMIC_SPECIES
Pb 207.20 Pb.upf
Re 186.21 Re.upf
Ag 107.87 Ag.upf
CELL_PARAMETERS angstrom
3.030 0.000 0.000
-1.515 2.624 0.000
0.000 0.000 7.494
ATOMIC_POSITIONS crystal
Pb 0.667 0.333 0.349
Re 0.333 0.667 0.675
Ag 0.000 0.000 0.976

***

! Y2NiPd, optimized geometry, DFT GGA-PBE; values from VASP
! Symmetry: No. 122
! Energy of formation from the pure elements in meV per atom: -224
&SYSTEM
  ibrav = 0, nat = 8, ntyp = 3
/
ATOMIC_SPECIES
Y 88.91 Y.upf
Pd 106.42 Pd.upf
Ni 58.69 Ni.upf
CELL_PARAMETERS angstrom
7.397 0.000 0.000
0.000 7.397 0.000
3.698 3.698 3.306
ATOMIC_POSITIONS crystal
Y 0.140 0.625 0.250
Y 0.375 0.390 0.750
Y 0.610 0.125 0.250
Y 0.875 0.860 0.750
Pd 0.000 0.000 0.000
Pd 0.750 0.250 0.500
Ni 0.500 0.500 0.000
Ni 0.250 0.750 0.500